[1]
This record from Alexandria via LeMat-Bulk describes an optimized crystal structure of PdRhF4. The functional is PBE.

a = 6.8682 Å, b = 6.8682 Å, c = 7.1104 Å
α = 90.00°, β = 90.00°, γ = 90.00°
Last column: nearest neighbours and their distance in Å.
Space group I4_1md (No. 109)
Inequivalent atoms, fractional coordinates:
Pd 0.0000 0.0000 0.0000 [4 per cell]  6 F 2.16-2.34
Rh 0.0000 0.0000 0.5066 [4 per cell]  6 F 2.04-2.16
F 0.0000 0.3043 0.5197 [8 per cell]  2 Rh 2.09-2.16, 1 Pd 2.34
F 0.0000 0.3134 0.9801 [8 per cell]  1 Rh 2.04, 1 Pd 2.16

N(E_F): 2.480 states/eV/f.u.
E_form (uncorrected): -1.1353 eV per atom


[2]
This record from Alexandria via LeMat-Bulk describes an optimized crystal structure of PdRhF5. The functional is PBE.

a = 3.9704 Å, b = 6.5602 Å, c = 8.1695 Å
α = 90.00°, β = 90.00°, γ = 90.00°
Last column: nearest neighbours and their distance in Å.
Space group Immm (No. 71)
Inequivalent atoms, fractional coordinates:
Pd 0.0000 0.0000 0.0000 [2 per cell]  2 F 2.10
Rh 0.0000 0.0000 0.5000 [2 per cell]  6 F 1.98-1.99
F 0.0000 0.0000 0.2571 [4 per cell]  1 Rh 1.98, 1 Pd 2.10
F 0.0000 0.3038 0.5000 [4 per cell]  1 Rh 1.99
F 0.0000 0.5000 0.0000 [2 per cell]  2 Rh 1.99

N(E_F): 6.488 states/eV/f.u.
E_form (uncorrected): -1.2479 eV per atom


[3]
This record from Alexandria via LeMat-Bulk describes an optimized crystal structure of PdRh3F. The functional is PBE.

a = 4.2539 Å, b = 4.2539 Å, c = 4.2539 Å
α = 90.00°, β = 90.00°, γ = 90.00°
Last column: nearest neighbours and their distance in Å.
Space group Pm-3m (No. 221)
Inequivalent atoms, fractional coordinates:
Pd 0.0000 0.0000 0.0000 [1 per cell]  12 Rh 3.01
Rh 0.0000 0.5000 0.5000 [3 per cell]  2 F 2.13
F 0.5000 0.5000 0.5000 [1 per cell]  6 Rh 2.13

N(E_F): 5.839 states/eV/f.u.
E_form (uncorrected): 0.6873 eV per atom
relative energy among the computed polymorphs: 0 meV per atom


Please write out number 3 again, unchanged.
This record from Alexandria via LeMat-Bulk describes an optimized crystal structure of PdRh3F. The functional is PBE.

a = 4.2539 Å, b = 4.2539 Å, c = 4.2539 Å
α = 90.00°, β = 90.00°, γ = 90.00°
Last column: nearest neighbours and their distance in Å.
Space group Pm-3m (No. 221)
Inequivalent atoms, fractional coordinates:
Pd 0.0000 0.0000 0.0000 [1 per cell]  12 Rh 3.01
Rh 0.0000 0.5000 0.5000 [3 per cell]  2 F 2.13
F 0.5000 0.5000 0.5000 [1 per cell]  6 Rh 2.13

N(E_F): 5.839 states/eV/f.u.
E_form (uncorrected): 0.6873 eV per atom
relative energy among the computed polymorphs: 0 meV per atom